Below is a relaxed HfCr3I crystal, with properties calculated at the PBEsol level.

Cell and atoms, written as extended XYZ:
```
5
Lattice="4.8620 0.0000 0.0000 0.0000 4.8620 0.0000 0.0000 0.0000 4.8620" Properties=species:S:1:pos:R:3 pbc="T T T"
Hf 0.0000 0.0000 0.0000
Cr 0.0000 0.0000 2.4310
Cr 0.0000 2.4310 0.0000
Cr 2.4310 0.0000 0.0000
I 2.4310 2.4310 2.4310
```

Computed properties:
* symmetry: No. 221
* raw formation energy: 1.825 eV/atom

***

Below is a relaxed HfCrSbI2 crystal, with properties calculated at the PBEsol level.

Cell and atoms, written as extended XYZ:
```
5
Lattice="4.9914 0.0000 0.0000 0.0000 4.9914 0.0000 0.0000 0.0000 5.1492" Properties=species:S:1:pos:R:3 pbc="T T T"
Hf 0.0000 0.0000 0.0000
Cr 0.0000 0.0000 2.5746
Sb 2.4957 2.4957 0.0000
I 0.0000 2.4957 2.5746
I 2.4957 0.0000 2.5746
```

Computed properties:
* symmetry: No. 123
* raw formation energy: 0.703 eV/atom

***

Below is a relaxed Hf2CrTeI crystal, with properties calculated at the PBEsol level.

Cell and atoms, written as extended XYZ:
```
5
Lattice="5.2150 0.0000 0.0000 0.0000 5.2150 0.0000 0.0000 0.0000 4.6968" Properties=species:S:1:pos:R:3 pbc="T T T"
Hf 0.0000 2.6075 0.0000
Hf 2.6075 0.0000 0.0000
Cr 0.0000 0.0000 2.3484
Te 2.6075 2.6075 2.3484
I 0.0000 0.0000 0.0000
```

Computed properties:
* symmetry: No. 123
* raw formation energy: 1.198 eV/atom

***

Below is a relaxed HfCrTeI2 crystal, with properties calculated at the PBEsol level.

Cell and atoms, written as extended XYZ:
```
5
Lattice="5.5662 0.0000 0.0000 0.0000 5.5662 0.0000 0.0000 0.0000 5.5232" Properties=species:S:1:pos:R:3 pbc="T T T"
Hf 0.0000 0.0000 0.0000
Cr 2.7831 2.7831 2.7616
Te 0.0000 0.0000 2.7616
I 0.0000 2.7831 0.0000
I 2.7831 0.0000 0.0000
```

Computed properties:
* symmetry: No. 123
* raw formation energy: 0.307 eV/atom

***

Below is a relaxed HfCr2InIr crystal, with properties calculated at the PBEsol level.

Cell and atoms, written as extended XYZ:
```
5
Lattice="4.6776 0.0000 0.0000 0.0000 4.6776 0.0000 0.0000 0.0000 4.7762" Properties=species:S:1:pos:R:3 pbc="T T T"
Hf 0.0000 0.0000 0.0000
Cr 0.0000 2.3388 0.0000
Cr 2.3388 0.0000 0.0000
In 2.3388 2.3388 2.3881
Ir 0.0000 0.0000 2.3881
```

Computed properties:
* E_form: 1487 meV per atom
* symmetry: No. 123

***

Below is a relaxed HfCrInN2 crystal, with properties calculated at the PBEsol level.

Cell and atoms, written as extended XYZ:
```
5
Lattice="4.1072 0.0000 0.0000 0.0000 4.1072 0.0000 0.0000 0.0000 4.8712" Properties=species:S:1:pos:R:3 pbc="T T T"
Hf 0.0000 0.0000 0.0000
Cr 2.0536 2.0536 0.0000
In 2.0536 2.0536 2.4356
N 0.0000 2.0536 2.4356
N 2.0536 0.0000 2.4356
```

Computed properties:
* symmetry: No. 123
* raw formation energy: 1.791 eV/atom

***

Number 1: density 6666 kg/m³, DOS at the Fermi energy 1.326 states/eV/atom. Number 2: density 7845 kg/m³, DOS at the Fermi energy 0.789 states/eV/atom. Number 3: density 8625 kg/m³, DOS at the Fermi energy 0.978 states/eV/atom. Number 4: density 5938 kg/m³, DOS at the Fermi energy 0.673 states/eV/atom. Number 5: density 9367 kg/m³, DOS at the Fermi energy 0.667 states/eV/atom. Number 6: density 7544 kg/m³, DOS at the Fermi energy 0.847 states/eV/atom.